The following is a GGA-PBE calculation of a geometry-optimized HfGaSiC2 structure, from the Alexandria database.

Properties
- Formation energy without anion corrections: 1.816 eV/atom
- Crystal system: tetragonal
- N(E_F): 0.5147 states/eV/atom
- Symmetry: P4/mmm, No. 123
- Spin magnetization: 0.00 μB/cell

Cell: 3.894 3.894 5.395 Å, 90.00 90.00 90.00°
Positions (direct):
Hf 0.000 0.000 0.000
Ga 0.000 0.000 0.500
Si 0.500 0.500 0.000
C 0.000 0.500 0.500
C 0.500 0.000 0.500

***

The following is a GGA-PBE calculation of a geometry-optimized Y2TcBi2 structure, from the Alexandria database.

Properties
- DFT formation energy: 33.2 kJ per mole of atoms
- Crystal system: tetragonal
- N(E_F): 1.0495 states/eV/atom
- Symmetry: I4/mmm, No. 139
- Energy above the most stable polymorph in this dataset: 0.5481 eV/atom
- Spin magnetization: 2.64 μB/cell

Cell: 6.179 6.179 6.179 Å, 121.70 121.70 87.07°
Positions (direct):
Y 0.250 0.750 0.500
Y 0.750 0.250 0.500
Tc 0.000 0.000 0.000
Bi 0.315 0.315 0.000
Bi 0.685 0.685 0.000